Density functional theory data (PBE) for Sr3LiPa2P6 after structural relaxation.

Values from the calculation:
**N(E_F)**: 16.28 states/eV/f.u.
**Density**: 4.923 Mg/m³
**Crystal system**: monoclinic
**Energy relative to the elements**: -1.010 eV/atom

abc: 7.198 7.198 7.295
angles: 99.38 99.38 119.97
Fractional positions:
P 0.928 0.575 0.783
Sr 0.500 0.500 0.500
P 0.720 0.720 0.214
Pa 0.332 0.668 0.000
P 0.425 0.072 0.217
Li 0.000 0.000 0.000
P 0.575 0.928 0.783
P 0.280 0.280 0.786
Sr 0.160 0.840 0.500
Sr 0.840 0.160 0.500
Pa 0.668 0.332 0.000
P 0.072 0.425 0.217


Density functional theory data (PBE) for RbCuPb2 after structural relaxation.

Values from the calculation:
**N(E_F)**: 1.17 states/eV/f.u.
**Density**: 6.844 Mg/m³
**Crystal system**: trigonal
**Energy relative to the elements**: -0.026 eV/atom

abc: 4.591 4.591 7.943
angles: 73.20 73.20 60.00
Fractional positions:
Pb 0.711 0.711 0.868
Pb 0.289 0.289 0.132
Rb 0.500 0.500 0.500
Cu 0.000 0.000 0.000


Density functional theory data (PBE) for Ta2TcOs after structural relaxation.

Values from the calculation:
**N(E_F)**: 5.59 states/eV/f.u.
**Density**: 14.615 Mg/m³
**Crystal system**: tetragonal
**Energy relative to the elements**: 0.781 eV/atom

abc: 4.133 4.133 9.129
angles: 76.92 76.92 90.00
Fractional positions:
Ta 0.124 0.625 0.250
Tc 0.250 0.750 0.500
Ta 0.375 0.374 0.750
Ta 0.875 0.876 0.750
Os 0.750 0.250 0.500
Ta 0.626 0.125 0.250
Os 0.000 0.000 0.000
Tc 0.500 0.500 0.000


Density functional theory data (PBE) for LiUTiSe4 after structural relaxation.

Values from the calculation:
**N(E_F)**: 6.48 states/eV/f.u.
**Density**: 5.787 Mg/m³
**Electronic total energy**: -6.179 eV/atom
**Crystal system**: orthorhombic

abc: 8.355 7.869 7.869
angles: 58.22 57.93 57.93
Fractional positions:
Se 0.789 0.744 0.244
Se 0.759 0.240 0.243
Se 0.211 0.256 0.756
U 0.000 0.000 0.500
Ti 0.000 0.000 0.000
Se 0.224 0.744 0.244
U 0.500 0.000 0.500
Se 0.241 0.257 0.260
Se 0.759 0.743 0.740
Se 0.241 0.760 0.757
Li 0.605 0.645 0.145
Li 0.395 0.355 0.855
Se 0.776 0.256 0.756
Ti 0.000 0.500 0.500


Density functional theory data (PBE) for Sc5Tl2InHg2 after structural relaxation.

Values from the calculation:
**N(E_F)**: 7.94 states/eV/f.u.
**Density**: 7.712 Mg/m³
**Crystal system**: tetragonal
**Energy relative to the elements**: -0.156 eV/atom

abc: 3.692 11.580 11.580
angles: 90.00 90.00 90.00
Fractional positions:
In 0.000 0.500 0.500
Tl 0.000 0.171 0.329
Tl 0.000 0.671 0.171
Hg 0.000 0.630 0.870
In 0.000 0.000 0.000
Hg 0.000 0.870 0.370
Sc 0.500 0.070 0.807
Sc 0.500 0.930 0.193
Sc 0.500 0.000 0.500
Tl 0.000 0.829 0.671
Sc 0.500 0.807 0.930
Sc 0.500 0.307 0.570
Sc 0.500 0.430 0.307
Sc 0.500 0.500 0.000
Hg 0.000 0.370 0.130
Sc 0.500 0.570 0.693
Sc 0.500 0.193 0.070
Sc 0.500 0.693 0.430
Hg 0.000 0.130 0.630
Tl 0.000 0.329 0.829


Density functional theory data (PBE) for LiUTcSb after structural relaxation.

Values from the calculation:
**N(E_F)**: 7.91 states/eV/f.u.
**Density**: 10.417 Mg/m³
**Electronic total energy**: -6.956 eV/atom
**Crystal system**: cubic

abc: 4.714 4.714 4.714
angles: 60.00 60.00 60.00
Fractional positions:
Li 0.750 0.750 0.750
U 0.500 0.500 0.500
Sb 0.000 0.000 0.000
Tc 0.250 0.250 0.250


Density functional theory data (PBE) for InGaTe after structural relaxation.

Values from the calculation:
**N(E_F)**: 0.79 states/eV/f.u.
**Density**: 5.987 Mg/m³
**Polymorph energy (0 for the lowest one)**: 0.0 kJ/mol of atoms
**Crystal system**: trigonal

abc: 5.198 4.386 4.386
angles: 120.00 90.00 90.00
Fractional positions:
Te 0.308 0.333 0.667
Ga 0.012 0.000 0.000
In 0.679 0.667 0.333


Density functional theory data (PBE) for CaLa3Ir after structural relaxation.

Values from the calculation:
**N(E_F)**: 6.45 states/eV/f.u.
**Density**: 5.584 Mg/m³
**Polymorph energy (0 for the lowest one)**: 41.9 kJ/mol of atoms
**Crystal system**: tetragonal
**Energy relative to the elements**: 0.084 eV/atom

abc: 4.377 4.377 10.076
angles: 90.00 90.00 90.00
Fractional positions:
La 0.500 0.000 0.416
Ir 0.500 0.500 0.624
Ca 0.000 0.000 0.096
La 0.000 0.000 0.711
La 0.000 0.500 0.416


Density functional theory data (PBE) for SrPm4Au4 after structural relaxation.

Values from the calculation:
**N(E_F)**: 9.41 states/eV/f.u.
**Density**: 8.392 Mg/m³
**Crystal system**: tetragonal
**Energy relative to the elements**: -0.599 eV/atom

abc: 5.967 9.825 9.825
angles: 90.00 90.00 90.00
Fractional positions:
Pm 0.909 0.394 0.156
Pm 0.409 0.656 0.106
Au 0.409 0.642 0.800
Sr 0.500 0.500 0.500
Pm 0.591 0.106 0.344
Pm 0.909 0.606 0.844
Pm 0.091 0.156 0.606
Sr 0.000 0.000 0.000
Au 0.591 0.200 0.642
Au 0.909 0.700 0.142
Au 0.091 0.858 0.700
Pm 0.409 0.344 0.894
Au 0.909 0.300 0.858
Pm 0.591 0.894 0.656
Pm 0.091 0.844 0.394
Au 0.091 0.142 0.300
Au 0.409 0.358 0.200
Au 0.591 0.800 0.358


Density functional theory data (PBE) for Te3HPb after structural relaxation.

Values from the calculation:
**N(E_F)**: 7.72 states/eV/f.u.
**Density**: 4.637 Mg/m³
**Polymorph energy (0 for the lowest one)**: 54.4 kJ/mol of atoms
**Crystal system**: cubic

abc: 5.959 5.959 5.959
angles: 90.00 90.00 90.00
Fractional positions:
Pb 0.000 0.000 0.000
Te 0.500 0.000 0.000
Te 0.000 0.500 0.000
Te 0.000 0.000 0.500
H 0.500 0.500 0.500